# 1
A relaxed structure of Ca2Br. Source: Alexandria, functional GGA-PBE.

Structure (POSCAR):
```
Ca2Br
1.0
6.318 0.000 0.000
3.149 5.757 0.000
3.156 0.540 6.309
Ca Br
4 2
Cartesian
0.000 0.000 0.000 Ca
3.153 2.095 2.604 Ca
6.312 2.597 5.269 Ca
6.311 3.789 0.626 Ca
6.284 5.006 3.531 Br
6.305 1.398 2.616 Br
```

Output
The total energy is -16.05 eV for the cell shown. Its energy relative to the elements, uncorrected is -227 kJ/mol of formula units. The calculation puts the density of states at the Fermi level at 1.645 states/eV/f.u.

---

# 2
A relaxed structure of Ho4Ge2O. Source: Alexandria, functional GGA-PBE.

Structure (POSCAR):
```
Ho4Ge2O
1.0
-2.233 2.233 7.837
2.233 -2.233 7.837
2.233 2.233 -7.837
Ho Ge O
4 2 1
Cartesian
2.233 0.000 0.000 Ho
0.000 0.000 2.780 Ho
0.000 2.233 0.000 Ho
0.000 0.000 12.894 Ho
0.000 0.000 5.697 Ge
0.000 0.000 9.977 Ge
0.000 0.000 0.000 O
```

Output
The total energy is -41.77 eV for the cell shown. Its energy relative to the elements, uncorrected is -894 kJ/mol of formula units. The calculation puts the density of states at the Fermi level at 6.954 states/eV/f.u.

---

# 3
A relaxed structure of Pr5Y4Tm4. Source: Alexandria, functional GGA-PBE.

Structure (POSCAR):
```
Pr5Y4Tm4
1.0
-6.499 6.499 2.545
6.499 -6.499 2.545
6.499 6.499 -2.545
Pr Y Tm
5 4 4
Cartesian
0.000 0.000 0.000 Pr
5.975 3.977 0.000 Pr
2.522 -0.524 2.545 Pr
3.977 7.024 0.000 Pr
0.524 2.522 2.545 Pr
7.992 0.997 0.000 Y
0.997 5.007 0.000 Y
5.502 1.493 2.545 Y
-1.493 5.502 2.545 Y
3.029 2.013 0.000 Tm
4.486 -3.471 2.545 Tm
2.013 9.970 0.000 Tm
3.471 4.486 2.545 Tm
```

Output
As for the formation energy: 0.02 eV/atom. The total energy is -67.33 eV for the cell shown. The calculation puts the density of states at the Fermi level at 19.758 states/eV/f.u.

---

# 4
A relaxed structure of LaMg2Cr. Source: Alexandria, functional GGA-PBE.

Structure (POSCAR):
```
LaMg2Cr
1.0
3.121 -4.976 0.000
3.121 4.976 0.000
0.000 0.000 3.212
La Mg Cr
1 2 1
Cartesian
0.000 0.000 0.000 La
1.561 2.488 1.606 Mg
1.561 -2.488 1.606 Mg
3.121 0.000 0.000 Cr
```

Output
As for the formation energy: 0.39 eV/atom. The total energy is -16.16 eV for the cell shown. The calculation puts the density of states at the Fermi level at 3.457 states/eV/f.u.

---

# 5
A relaxed structure of RbLiB3. Source: Alexandria, functional GGA-PBE.

Structure (POSCAR):
```
RbLiB3
1.0
4.387 0.000 0.000
0.000 4.387 0.000
0.000 0.000 4.387
Rb Li B
1 1 3
Cartesian
0.000 0.000 0.000 Rb
2.194 2.194 2.194 Li
0.000 2.194 2.194 B
2.194 0.000 2.194 B
2.194 2.194 0.000 B
```

Output
As for the formation energy: 2.09 eV/atom. The total energy is -12.46 eV for the cell shown. The calculation puts the density of states at the Fermi level at 4.269 states/eV/f.u.

---

# 6
A relaxed structure of K3TlIn2I6. Source: Alexandria, functional GGA-PBE.

Structure (POSCAR):
```
K3TlIn2I6
1.0
10.983 -2.512 0.000
10.983 2.512 0.000
-2.349 0.000 9.806
K Tl In I
3 1 2 6
Cartesian
0.000 0.000 0.000 K
5.766 0.000 6.530 K
13.851 0.000 3.276 K
-1.175 0.000 4.903 Tl
6.918 0.000 1.621 In
12.699 0.000 8.185 In
3.472 0.000 0.815 I
2.292 0.000 5.747 I
10.377 0.000 2.445 I
9.240 0.000 7.361 I
17.325 0.000 4.059 I
16.145 0.000 8.991 I
```

Output
The total energy is -32.41 eV for the cell shown. Its energy relative to the elements, uncorrected is -1156 kJ/mol of formula units. The calculation puts the density of states at the Fermi level at 0.000 states/eV/f.u.

---

# 7
A relaxed structure of LiFe4Sb. Source: Alexandria, functional GGA-PBE.

Structure (POSCAR):
```
LiFe4Sb
1.0
0.000 3.438 3.438
3.438 0.000 3.438
3.438 3.438 0.000
Li Fe Sb
1 4 1
Cartesian
0.000 0.000 0.000 Li
2.573 2.573 2.573 Fe
4.302 4.302 2.573 Fe
4.302 2.573 4.302 Fe
2.573 4.302 4.302 Fe
5.157 5.157 5.157 Sb
```

Output
The total energy is -39.16 eV for the cell shown. Its energy relative to the elements, uncorrected is 70 kJ/mol of formula units. The calculation puts the density of states at the Fermi level at 5.060 states/eV/f.u.

---

# 8
A relaxed structure of KLiSi4. Source: Alexandria, functional GGA-PBE.

Structure (POSCAR):
```
KLiSi4
1.0
0.000 3.792 3.792
3.792 0.000 3.792
3.792 3.792 0.000
K Li Si
1 1 4
Cartesian
0.000 0.000 0.000 K
5.689 5.689 5.689 Li
2.852 2.852 2.852 Si
4.732 4.732 2.852 Si
4.732 2.852 4.732 Si
2.852 4.732 4.732 Si
```

Output
The total energy is -23.57 eV for the cell shown. Its energy relative to the elements, uncorrected is 110 kJ/mol of formula units. The calculation puts the density of states at the Fermi level at 0.707 states/eV/f.u.

---

# 9
A relaxed structure of ErTl3Cr2Te6. Source: Alexandria, functional GGA-PBE.

Structure (POSCAR):
```
ErTl3Cr2Te6
1.0
3.655 -6.296 0.000
3.655 6.296 0.000
-2.456 0.000 8.010
Er Tl Cr Te
1 3 2 6
Cartesian
0.000 0.000 0.000 Er
2.427 4.348 4.005 Tl
2.427 0.000 4.005 Tl
2.427 -4.348 4.005 Tl
3.655 2.113 0.000 Cr
3.655 -2.113 0.000 Cr
1.313 2.263 1.583 Te
0.181 0.000 6.503 Te
1.313 -2.263 1.583 Te
3.541 2.263 6.427 Te
4.674 0.000 1.506 Te
3.541 -2.263 6.427 Te
```

Output
The total energy is -55.43 eV for the cell shown. Its energy relative to the elements, uncorrected is -547 kJ/mol of formula units. The calculation puts the density of states at the Fermi level at 2.420 states/eV/f.u.

---

# 10
A relaxed structure of Ho3ErPt. Source: Alexandria, functional GGA-PBE.

Structure (POSCAR):
```
Ho3ErPt
1.0
6.350 0.000 0.000
0.000 5.095 0.000
-1.097 0.000 8.633
Ho Er Pt
6 2 2
Cartesian
1.090 1.274 0.175 Ho
0.881 1.274 3.814 Ho
0.907 3.822 6.580 Ho
4.346 1.274 2.053 Ho
4.371 3.822 4.819 Ho
4.162 3.822 8.458 Ho
2.233 3.822 1.825 Er
3.019 1.274 6.808 Er
-0.585 1.274 6.131 Pt
5.838 3.822 2.502 Pt
```

Output
As for the formation energy: -0.48 eV/atom. The total energy is -53.50 eV for the cell shown. The calculation puts the density of states at the Fermi level at 6.656 states/eV/f.u.

---

# 11
A relaxed structure of CaSi2Tc. Source: Alexandria, functional GGA-PBE.

Structure (POSCAR):
```
CaSi2Tc
1.0
1.652 0.954 7.847
-1.652 0.954 7.847
0.000 -1.908 7.847
Ca Si Tc
1 2 1
Cartesian
0.000 0.000 0.000 Ca
0.000 0.000 5.537 Si
0.000 0.000 18.005 Si
0.000 0.000 11.771 Tc
```

Output
The total energy is -23.74 eV for the cell shown. Its energy relative to the elements, uncorrected is -51 kJ/mol of formula units. The calculation puts the density of states at the Fermi level at 0.608 states/eV/f.u.

---

# 12
A relaxed structure of OsAuSe2. Source: Alexandria, functional GGA-PBE.

Structure (POSCAR):
```
OsAuSe2
1.0
0.000 3.253 3.253
3.253 0.000 3.253
3.253 3.253 0.000
Os Au Se
1 1 2
Cartesian
0.000 0.000 0.000 Os
3.253 3.253 3.253 Au
1.627 1.627 1.627 Se
4.880 4.880 4.880 Se
```

Output
The total energy is -18.72 eV for the cell shown. Its energy relative to the elements, uncorrected is 265 kJ/mol of formula units. The calculation puts the density of states at the Fermi level at 3.792 states/eV/f.u.

---

Number 1: volume 38.24 A^3/atom. Number 2: volume 22.33 A^3/atom. Number 3: volume 33.07 A^3/atom. Number 4: volume 24.94 A^3/atom. Number 5: volume 16.89 A^3/atom. Number 6: volume 45.10 A^3/atom. Number 7: volume 13.54 A^3/atom. Number 8: volume 18.18 A^3/atom. Number 9: volume 30.72 A^3/atom. Number 10: volume 27.93 A^3/atom. Number 11: volume 18.55 A^3/atom. Number 12: volume 17.22 A^3/atom.